A plane-wave DFT calculation with PBE was carried out for Rb2ZnIn2 after structural relaxation.

Values from the calculation:
**Energy of formation from the pure elements**: 0.079 eV per atom
**DOS at the Fermi energy**: 0.65 states/eV/atom
**Total energy**: -1.6579 eV per atom

Cell and atoms, written as CIF:
```
data_Rb2ZnIn2
_cell_length_a 7.556
_cell_length_b 7.556
_cell_length_c 6.376
_cell_angle_alpha 90.00
_cell_angle_beta 90.00
_cell_angle_gamma 90.00
_symmetry_space_group_name_H-M 'P 4/m b m'
_symmetry_Int_Tables_number 127
_symmetry_space_group_name_Hall '-P 4 2ab'
loop_
_atom_site_label
_atom_site_type_symbol
_atom_site_fract_x
_atom_site_fract_y
_atom_site_fract_z
_atom_site_occupancy
Rb1 Rb 0.181 0.319 0.000 1
Zn1 Zn 0.000 0.000 0.500 1
In1 In 0.140 0.640 0.500 1
```